[1]
Material: Y6BSe4
Method: DFT, PBE
State: relaxed

```
data_Y6BSe4
_chemical_formula_sum 'Y12 B2 Se8'
_symmetry_space_group_name_H-M 'P 1'
_symmetry_Int_Tables_number 1
_cell_length_a 8.0478
_cell_length_b 8.0478
_cell_length_c 8.0478
_cell_angle_alpha 89.66
_cell_angle_beta 89.66
_cell_angle_gamma 89.66
loop_
_symmetry_equiv_pos_as_xyz
'x,y,z'
loop_
_atom_site_label
_atom_site_fract_x
_atom_site_fract_y
_atom_site_fract_z
_atom_site_occupancy
Y1 0.0547 0.9298 0.7034 1
Y2 0.0702 0.2966 0.9453 1
Y3 0.2034 0.4298 0.5547 1
Y4 0.2966 0.9453 0.0702 1
Y5 0.4298 0.5547 0.2034 1
Y6 0.4453 0.7966 0.5702 1
Y7 0.5547 0.2034 0.4298 1
Y8 0.5702 0.4453 0.7966 1
Y9 0.7034 0.0547 0.9298 1
Y10 0.7966 0.5702 0.4453 1
Y11 0.9298 0.7034 0.0547 1
Y12 0.9453 0.0702 0.2966 1
B1 0.0000 0.0000 0.0000 1
B2 0.5000 0.5000 0.5000 1
Se1 0.1231 0.7500 0.3769 1
Se2 0.2500 0.2500 0.2500 1
Se3 0.2500 0.6231 0.8769 1
Se4 0.3769 0.1231 0.7500 1
Se5 0.6231 0.8769 0.2500 1
Se6 0.7500 0.3769 0.1231 1
Se7 0.7500 0.7500 0.7500 1
Se8 0.8769 0.2500 0.6231 1
```

As for the energy relative to the elements, uncorrected: -1.15 eV/atom. The calculation puts the calculated total energy at -6.554 eV per atom.

***

[2]
Material: Y4BSe3
Method: DFT, PBE
State: relaxed

```
data_Y4BSe3
_chemical_formula_sum 'Y8 B2 Se6'
_symmetry_space_group_name_H-M 'P 1'
_symmetry_Int_Tables_number 1
_cell_length_a 8.1655
_cell_length_b 11.4182
_cell_length_c 3.9851
_cell_angle_alpha 90.00
_cell_angle_beta 90.00
_cell_angle_gamma 90.00
loop_
_symmetry_equiv_pos_as_xyz
'x,y,z'
loop_
_atom_site_label
_atom_site_fract_x
_atom_site_fract_y
_atom_site_fract_z
_atom_site_occupancy
Y1 0.0000 0.2285 0.0000 1
Y2 0.0000 0.7715 0.0000 1
Y3 0.2193 0.0000 0.5000 1
Y4 0.2807 0.5000 0.5000 1
Y5 0.5000 0.2715 0.0000 1
Y6 0.5000 0.7285 0.0000 1
Y7 0.7193 0.5000 0.5000 1
Y8 0.7807 0.0000 0.5000 1
B1 0.0000 0.0000 0.0000 1
B2 0.5000 0.5000 0.0000 1
Se1 0.0000 0.5000 0.0000 1
Se2 0.2500 0.2500 0.5000 1
Se3 0.2500 0.7500 0.5000 1
Se4 0.5000 0.0000 0.0000 1
Se5 0.7500 0.2500 0.5000 1
Se6 0.7500 0.7500 0.5000 1
```

As for the energy relative to the elements, uncorrected: -1.48 eV/atom. The calculation puts the calculated total energy at -6.849 eV per atom.

***

[3]
Material: YBSe3
Method: DFT, PBE
State: relaxed

```
data_YBSe3
_chemical_formula_sum 'Y1 B1 Se3'
_symmetry_space_group_name_H-M 'P 1'
_symmetry_Int_Tables_number 1
_cell_length_a 4.5912
_cell_length_b 4.5912
_cell_length_c 4.5912
_cell_angle_alpha 90.00
_cell_angle_beta 90.00
_cell_angle_gamma 90.00
loop_
_symmetry_equiv_pos_as_xyz
'x,y,z'
loop_
_atom_site_label
_atom_site_fract_x
_atom_site_fract_y
_atom_site_fract_z
_atom_site_occupancy
Y1 0.0000 0.0000 0.0000 1
B1 0.5000 0.5000 0.5000 1
Se1 0.0000 0.5000 0.5000 1
Se2 0.5000 0.0000 0.5000 1
Se3 0.5000 0.5000 0.0000 1
```

As for the energy relative to the elements, uncorrected: -0.27 eV/atom. The calculation puts the calculated total energy at -4.993 eV per atom. The value obtained for the energy above the most stable polymorph in this dataset is 660.9 meV/atom.

***

Which of these has the highest energy relative to the elements, uncorrected?
YBSe3

***

Repeat the first record exactly.
Material: Y6BSe4
Method: DFT, PBE
State: relaxed

```
data_Y6BSe4
_chemical_formula_sum 'Y12 B2 Se8'
_symmetry_space_group_name_H-M 'P 1'
_symmetry_Int_Tables_number 1
_cell_length_a 8.0478
_cell_length_b 8.0478
_cell_length_c 8.0478
_cell_angle_alpha 89.66
_cell_angle_beta 89.66
_cell_angle_gamma 89.66
loop_
_symmetry_equiv_pos_as_xyz
'x,y,z'
loop_
_atom_site_label
_atom_site_fract_x
_atom_site_fract_y
_atom_site_fract_z
_atom_site_occupancy
Y1 0.0547 0.9298 0.7034 1
Y2 0.0702 0.2966 0.9453 1
Y3 0.2034 0.4298 0.5547 1
Y4 0.2966 0.9453 0.0702 1
Y5 0.4298 0.5547 0.2034 1
Y6 0.4453 0.7966 0.5702 1
Y7 0.5547 0.2034 0.4298 1
Y8 0.5702 0.4453 0.7966 1
Y9 0.7034 0.0547 0.9298 1
Y10 0.7966 0.5702 0.4453 1
Y11 0.9298 0.7034 0.0547 1
Y12 0.9453 0.0702 0.2966 1
B1 0.0000 0.0000 0.0000 1
B2 0.5000 0.5000 0.5000 1
Se1 0.1231 0.7500 0.3769 1
Se2 0.2500 0.2500 0.2500 1
Se3 0.2500 0.6231 0.8769 1
Se4 0.3769 0.1231 0.7500 1
Se5 0.6231 0.8769 0.2500 1
Se6 0.7500 0.3769 0.1231 1
Se7 0.7500 0.7500 0.7500 1
Se8 0.8769 0.2500 0.6231 1
```

As for the energy relative to the elements, uncorrected: -1.15 eV/atom. The calculation puts the calculated total energy at -6.554 eV per atom.

***

energy relative to the elements, uncorrected of number 3 (YBSe3)?
-0.27 eV/atom

***

Look up the calculated total energy of the second one.
-6.849 eV per atom